First-principles (PBE+U) data for a relaxed Sr2AlNiO4 crystal, as listed in the Alexandria database.

## Properties
DOS(E_F)   0.000 states/eV/f.u.
Total energy   -95.21 eV for the cell shown
Magnetic moment   0.13 μB/atom

abc: 5.926 5.926 6.437
angles: 90.00 90.00 90.00
Space group I-4 (No. 82)
Asymmetric unit:
Sr 0.000 0.000 0.000 [2 per cell]
Sr 0.000 0.500 0.250 [2 per cell]
Al 0.000 0.500 0.750 [2 per cell]
Ni 0.000 0.000 0.500 [2 per cell]
O 0.154 0.306 0.590 [8 per cell]